MnGeNF2 | meta-GGA SCAN | PBEsol geometry

Computed properties:
Magnetization, Bohr magnetons per cell: 3.94
Crystal system: tetragonal
Calculated density, g/cm³: 4.999
Space-group type: No. 123
VASP energy, eV/atom: -11.74
E above lowest polymorph, eV per formula unit: 0.000

```
MnGeNF2
1.0
3.930 0.000 0.000
0.000 3.930 0.000
0.000 0.000 3.862
Mn Ge N F
1 1 1 2
direct
0.000 0.000 0.000 Mn
0.500 0.500 0.500 Ge
0.000 0.000 0.500 N
0.000 0.500 0.000 F
0.500 0.000 0.000 F
```